Record 1
! Mn17Be12 (PBEsol, relaxed); values from VASP
! - Calculated formation energy: -3.576 eV per formula unit
! - Crystal system: cubic
! - N(E_F): 27.52 states/eV/f.u.
&SYSTEM
  ibrav = 0, nat = 29, ntyp = 2
/
ATOMIC_SPECIES
Mn 54.94 Mn.upf
Be 9.01 Be.upf
CELL_PARAMETERS angstrom
-4.0415 4.0415 4.0415
4.0415 -4.0415 4.0415
4.0415 4.0415 -4.0415
ATOMIC_POSITIONS angstrom
Mn 0.0000 0.0000 0.0000
Mn 2.5504 2.5504 -2.5504
Mn 4.4137 1.0906 -1.0906
Mn 2.5504 -2.5504 2.5504
Mn 4.4137 -1.0906 1.0906
Mn 3.6694 1.0906 1.0906
Mn 2.9509 2.9509 -0.3721
Mn 2.9509 -0.3721 2.9509
Mn 1.4911 1.4911 1.4911
Mn 1.0906 4.4137 -1.0906
Mn 1.0906 -1.0906 4.4137
Mn 1.0906 3.6694 1.0906
Mn 1.0906 1.0906 3.6694
Mn -2.5504 2.5504 2.5504
Mn -1.0906 4.4137 1.0906
Mn -1.0906 1.0906 4.4137
Mn -0.3721 2.9509 2.9509
Be 2.2028 0.7318 -0.7318
Be 2.2028 -0.7318 0.7318
Be 5.8803 0.7318 0.7318
Be 0.7318 2.2028 -0.7318
Be 0.7318 -0.7318 2.2028
Be -0.7318 2.2028 0.7318
Be -0.7318 0.7318 2.2028
Be 3.3098 3.3098 1.8387
Be 3.3098 1.8387 3.3098
Be 0.7318 5.8803 0.7318
Be 0.7318 0.7318 5.8803
Be 1.8387 3.3098 3.3098



Record 2
! Mn2Be3 (PBEsol, relaxed); values from VASP
! - Calculated formation energy: 0.617 eV per formula unit
! - Crystal system: trigonal
! - N(E_F): 4.19 states/eV/f.u.
&SYSTEM
  ibrav = 0, nat = 5, ntyp = 2
/
ATOMIC_SPECIES
Mn 54.94 Mn.upf
Be 9.01 Be.upf
CELL_PARAMETERS angstrom
1.1842 0.6837 9.4795
-1.1842 0.6837 9.4795
0.0000 -1.3674 9.4795
ATOMIC_POSITIONS angstrom
Mn 0.0000 0.0000 2.8257
Mn 0.0000 0.0000 25.6129
Be 0.0000 0.0000 8.5378
Be 0.0000 0.0000 14.2193
Be 0.0000 0.0000 19.9008



Q: Among the records above, which one has the lowest calculated formation energy?
A: Mn17Be12